# 1
# RbPm2CuSe4

RbPm2CuSe4 after structural relaxation (GGA-PBE, Alexandria).

Lattice parameters (Å, degrees): 4.2236 7.6149 14.6339 90.00 90.00 106.10
With the nearest neighbours (Å) after each atom.
Positions (direct):
1 Se 0.7380 0.4760 0.6127  1 Cu 2.49
2 Se 0.7380 0.4760 0.8873  1 Cu 2.49
3 Se 0.5703 0.1406 0.2500  2 Cu 2.50
4 Se 0.2620 0.5240 0.1127  1 Cu 2.49
5 Se 0.2620 0.5240 0.3873  1 Cu 2.49
6 Se 0.0000 0.0000 0.0000  4 Pm 3.03
7 Se 0.0000 0.0000 0.5000  4 Pm 3.03
8 Se 0.4297 0.8594 0.7500  2 Cu 2.50
9 Pm 0.3656 0.7311 0.5630  6 Se 2.89-3.03
10 Pm 0.6344 0.2689 0.4370  6 Se 2.89-3.03
11 Pm 0.6344 0.2689 0.0630  6 Se 2.89-3.03
12 Pm 0.3656 0.7311 0.9370  6 Se 2.89-3.03
13 Cu 0.1613 0.3226 0.2500  4 Se 2.49-2.50
14 Cu 0.8387 0.6774 0.7500  4 Se 2.49-2.50
15 Rb 0.8911 0.7823 0.2500  6 Se 3.37-3.47
16 Rb 0.1089 0.2177 0.7500  6 Se 3.37-3.47

Space-group type = Cmcm, No. 63
Total magnetic moment = 0.00 μB/f.u.
VASP energy = -5.08 eV/atom
Energy relative to the elements, uncorrected = -1513 meV per atom

=====

# 2
# ReTc5

ReTc5 after structural relaxation (GGA-PBE, Alexandria).

Lattice parameters (Å, degrees): 7.3096 2.7624 5.2141 74.64 120.00 100.89
With the nearest neighbours (Å) after each atom.
Positions (direct):
1 Tc 0.0572 0.2780 0.5012  9 Tc 2.71-2.77, 3 Re 2.72-2.73
2 Tc 0.7224 0.6115 0.4994  10 Tc 2.72-2.77, 2 Re 2.73
3 Tc 0.3316 0.6668 0.9980  10 Tc 2.71-2.76, 2 Re 2.76
4 Tc 0.6649 0.3328 0.9992  10 Tc 2.71-2.76, 2 Re 2.77
5 Tc 0.3908 0.9438 0.5032  11 Tc 2.71-2.76, 1 Re 2.75
6 Re 0.9997 0.0004 0.9990  10 Tc 2.72-2.77, 2 Re 2.76

ΔE to the lowest computed polymorph = 0.003 eV per atom
Space-group type = Cm, No. 8
Total magnetic moment = 0.00 μB/f.u.
VASP energy = -10.71 eV/atom
Energy relative to the elements = 0.004 eV per atom

=====

# 3
# TcAgC3

TcAgC3 after structural relaxation (GGA-PBE, Alexandria).

Lattice parameters (Å, degrees): 4.0436 4.0436 4.0436 90.00 90.00 90.00
With the nearest neighbours (Å) after each atom.
Positions (direct):
1 C 0.0000 0.5000 0.0000  2 Tc 2.02
2 C 0.0000 0.0000 0.5000  2 Tc 2.02
3 C 0.5000 0.0000 0.0000  2 Tc 2.02
4 Ag 0.5000 0.5000 0.5000  12 C 2.86
5 Tc 0.0000 0.0000 0.0000  6 C 2.02

ΔE to the lowest computed polymorph = 0.000 eV per atom
Space-group type = Pm-3m, No. 221
Total magnetic moment = 0.00 μB/f.u.
VASP energy = -6.26 eV/atom
Energy relative to the elements = 1.916 eV per atom

=====

# 4
# YBeAu3

YBeAu3 after structural relaxation (GGA-PBE, Alexandria).

Lattice parameters (Å, degrees): 4.7468 6.3891 6.0828 90.01 89.26 90.06
With the nearest neighbours (Å) after each atom.
Positions (direct):
1 Y 0.4174 0.2726 0.0540  8 Au 2.95-3.15, 2 Be 3.14-3.17
2 Y 0.9163 0.7722 0.6191  8 Au 2.95-3.15, 2 Be 3.14-3.17
3 Au 0.9144 0.9905 0.1551  1 Be 2.33
4 Au 0.9150 0.5550 0.1546  1 Be 2.33
5 Au 0.4192 0.0543 0.5181  1 Be 2.33
6 Au 0.4186 0.4897 0.5184  1 Be 2.33
7 Au 0.4121 0.7725 0.9070  1 Be 2.25
8 Au 0.9215 0.2722 0.7661  1 Be 2.25
9 Be 0.4260 0.7719 0.2769  3 Au 2.25-2.33
10 Be 0.9079 0.2730 0.3963  3 Au 2.25-2.33

ΔE to the lowest computed polymorph = 0.022 eV per atom
Space-group type = P-1, No. 2
Total magnetic moment = 0.00 μB/f.u.
VASP energy = -4.55 eV/atom
Energy relative to the elements = -0.544 eV per atom

=====

# 5
# K5As3Pd3

K5As3Pd3 after structural relaxation (GGA-PBE, Alexandria).

Lattice parameters (Å, degrees): 4.6268 10.2418 10.2418 120.00 90.00 90.00
With the nearest neighbours (Å) after each atom.
Positions (direct):
1 K 0.5000 0.0000 0.7293  3 As 3.35-3.74
2 K 0.5000 0.2707 0.2707  3 As 3.35-3.74
3 K 0.5000 0.7293 0.0000  3 As 3.35-3.74
4 K 0.5000 0.6667 0.3333  3 As 3.27
5 K 0.5000 0.3333 0.6667  3 As 3.27
6 As 0.5000 0.6361 0.6361  2 Pd 2.31
7 As 0.5000 0.3639 0.0000  2 Pd 2.31
8 As 0.5000 0.0000 0.3639  2 Pd 2.31
9 Pd 0.0000 0.6367 0.6367  2 As 2.31
10 Pd 0.0000 0.0000 0.3633  2 As 2.31
11 Pd 0.0000 0.3633 0.0000  2 As 2.31

Space-group type = P-62m, No. 189
Total magnetic moment = 0.00 μB/f.u.
VASP energy = -3.46 eV/atom
Energy relative to the elements = -0.280 eV per atom

=====

# 6
# KSnPt3

KSnPt3 after structural relaxation (GGA-PBE, Alexandria).

Lattice parameters (Å, degrees): 5.0796 5.0796 5.0796 90.00 90.00 90.00
With the nearest neighbours (Å) after each atom.
Positions (direct):
1 K 0.5000 0.5000 0.5000  12 Pt 3.59
2 Pt 0.5000 0.0000 0.0000  2 Sn 2.54
3 Pt 0.0000 0.5000 0.0000  2 Sn 2.54
4 Pt 0.0000 0.0000 0.5000  2 Sn 2.54
5 Sn 0.0000 0.0000 0.0000  6 Pt 2.54

ΔE to the lowest computed polymorph = 0.000 eV per atom
Space-group type = Pm-3m, No. 221
Total magnetic moment = 0.00 μB/f.u.
VASP energy = -4.26 eV/atom
Energy relative to the elements = 0.388 eV per atom

=====

# 7
# In2BrCl

In2BrCl after structural relaxation (GGA-PBE, Alexandria).

Lattice parameters (Å, degrees): 6.7801 6.5383 12.8368 90.42 90.00 90.00
With the nearest neighbours (Å) after each atom.
Positions (direct):
1 Cl 0.1628 0.5409 0.6249  4 In 2.91-3.16
2 Cl 0.8372 0.4591 0.3751  4 In 2.91-3.16
3 Cl 0.8372 0.0409 0.1249  4 In 2.91-3.16
4 Cl 0.1628 0.9591 0.8751  4 In 2.91-3.16
5 In 0.7632 0.5026 0.1341  2 Cl 3.06-3.15, 2 Br 3.08-3.33
6 In 0.2368 0.0026 0.6341  2 Cl 3.06-3.15, 2 Br 3.08-3.33
7 In 0.2653 0.0094 0.1143  2 Cl 2.91-3.16, 1 Br 3.21
8 In 0.7347 0.9906 0.8857  2 Cl 2.91-3.16, 1 Br 3.21
9 In 0.2368 0.4974 0.8659  2 Cl 3.06-3.15, 2 Br 3.08-3.33
10 In 0.7632 0.9974 0.3659  2 Cl 3.06-3.15, 2 Br 3.08-3.33
11 In 0.2653 0.4906 0.3857  2 Cl 2.91-3.16, 1 Br 3.21
12 In 0.7347 0.5094 0.6143  2 Cl 2.91-3.16, 1 Br 3.21
13 Br 0.7827 0.0210 0.6254  5 In 3.08-3.37
14 Br 0.2173 0.9790 0.3746  5 In 3.08-3.37
15 Br 0.7827 0.4790 0.8746  5 In 3.08-3.37
16 Br 0.2173 0.5210 0.1254  5 In 3.08-3.37

ΔE to the lowest computed polymorph = 0.012 eV per atom
Space-group type = P2/c, No. 13
Total magnetic moment = 0.00 μB/f.u.
VASP energy = -2.97 eV/atom
Energy relative to the elements, uncorrected = -722 meV per atom

=====

# 8
# TlGeO

TlGeO after structural relaxation (GGA-PBE, Alexandria).

Lattice parameters (Å, degrees): 3.4262 3.4262 6.6291 90.00 90.00 120.00
With the nearest neighbours (Å) after each atom.
Positions (direct):
1 Tl 0.3333 0.6667 0.3950  3 O 2.52
2 Ge 0.6667 0.3333 0.8900  1 O 1.78
3 O 0.6667 0.3333 0.1587  1 Ge 1.78

ΔE to the lowest computed polymorph = 0.068 eV per atom
Space-group type = P3m1, No. 156
Total magnetic moment = 0.00 μB/f.u.
VASP energy = -4.51 eV/atom
Energy relative to the elements, uncorrected = -526 meV per atom

=====

# 9
# RbVCo2Cl8

RbVCo2Cl8 after structural relaxation (GGA-PBE, Alexandria).

Lattice parameters (Å, degrees): 6.2054 6.2054 9.5765 85.16 85.16 68.35
With the nearest neighbours (Å) after each atom.
Positions (direct):
1 Cl 0.3136 0.3136 0.5942  1 Co 2.19
2 Cl 0.7699 0.7699 0.0027  1 Co 2.27, 1 V 2.36
3 Cl 0.6864 0.6864 0.4058  1 Co 2.19
4 Cl 0.2265 0.7449 0.1832  1 Co 2.29, 1 V 2.42
5 Cl 0.7735 0.2551 0.8168  1 Co 2.29, 1 V 2.42
6 Cl 0.2301 0.2301 0.9973  1 Co 2.27, 1 V 2.36
7 Cl 0.2551 0.7735 0.8168  1 Co 2.29, 1 V 2.42
8 Cl 0.7449 0.2265 0.1832  1 Co 2.29, 1 V 2.42
9 Co 0.6210 0.6210 0.1955  4 Cl 2.19-2.29
10 Co 0.3790 0.3790 0.8045  4 Cl 2.19-2.29
11 V 0.0000 0.0000 0.0000  6 Cl 2.36-2.42
12 Rb 0.0000 0.0000 0.5000  6 Cl 3.43-3.48

Space-group type = C2/m, No. 12
Total magnetic moment = 7.82 μB/f.u.
VASP energy = -4.24 eV/atom
Energy relative to the elements, uncorrected = -985 meV per atom

=====

# 10
# Mn5Cu4

Mn5Cu4 after structural relaxation (GGA-PBE, Alexandria).

Lattice parameters (Å, degrees): 6.5429 6.5429 6.5429 92.50 92.50 155.87
With the nearest neighbours (Å) after each atom.
Positions (direct):
1 Mn 0.0000 0.0000 0.0000  10 Mn 2.52-2.74
2 Mn 0.3350 0.6650 0.0000  6 Mn 2.52-2.74, 4 Cu 2.55
3 Mn 0.6650 0.6650 0.3300  6 Mn 2.52-2.74, 4 Cu 2.55
4 Mn 0.3350 0.3350 0.6700  6 Mn 2.52-2.74, 4 Cu 2.55
5 Mn 0.6650 0.3350 0.0000  6 Mn 2.52-2.74, 4 Cu 2.55
6 Cu 0.0000 0.6635 0.6635  6 Cu 2.50-2.74, 4 Mn 2.55
7 Cu 0.6635 0.0000 0.6635  6 Cu 2.50-2.74, 4 Mn 2.55
8 Cu 0.0000 0.3365 0.3365  6 Cu 2.50-2.74, 4 Mn 2.55
9 Cu 0.3365 0.0000 0.3365  6 Cu 2.50-2.74, 4 Mn 2.55

ΔE to the lowest computed polymorph = 0.006 eV per atom
Space-group type = I4/mmm, No. 139
Total magnetic moment = 8.95 μB/f.u.
VASP energy = -6.70 eV/atom
Energy relative to the elements = 0.213 eV per atom

=====

# 11
# Tl2Ag2I

Tl2Ag2I after structural relaxation (GGA-PBE, Alexandria).

Lattice parameters (Å, degrees): 9.1856 9.1856 3.3566 90.00 90.00 90.00
With the nearest neighbours (Å) after each atom.
Positions (direct):
1 Ag 0.8932 0.3932 0.5000  1 Ag 2.78
2 Ag 0.6068 0.8932 0.5000  1 Ag 2.78
3 Ag 0.3932 0.1068 0.5000  1 Ag 2.78
4 Ag 0.1068 0.6068 0.5000  1 Ag 2.78
5 I 0.5000 0.5000 0.0000  4 Tl 3.34, 2 I 3.36
6 I 0.0000 0.0000 0.0000  4 Tl 3.34, 2 I 3.36
7 Tl 0.1902 0.3098 0.0000  6 Ag 3.13-3.29, 2 I 3.34, 2 Tl 3.36
8 Tl 0.3098 0.8098 0.0000  6 Ag 3.13-3.29, 2 I 3.34, 2 Tl 3.36
9 Tl 0.6902 0.1902 0.0000  6 Ag 3.13-3.29, 2 I 3.34, 2 Tl 3.36
10 Tl 0.8098 0.6902 0.0000  6 Ag 3.13-3.29, 2 I 3.34, 2 Tl 3.36

ΔE to the lowest computed polymorph = 0.155 eV per atom
Space-group type = P4/mbm, No. 127
Total magnetic moment = 0.00 μB/f.u.
VASP energy = -2.28 eV/atom
Energy relative to the elements, uncorrected = 119 meV per atom

=====

# 12
# Li2CuPt

Li2CuPt after structural relaxation (GGA-PBE, Alexandria).

Lattice parameters (Å, degrees): 2.7618 4.5062 4.6683 100.38 107.21 90.00
With the nearest neighbours (Å) after each atom.
Positions (direct):
1 Li 0.9927 0.9982 0.9854  5 Li 2.60-2.79, 4 Pt 2.62-2.67, 3 Cu 2.67-2.75
2 Li 0.7562 0.2576 0.5125  4 Cu 2.57-2.71, 5 Li 2.60-2.79, 3 Pt 2.67-2.70
3 Cu 0.2470 0.7359 0.4941  7 Li 2.57-2.75, 3 Pt 2.61-2.68, 2 Cu 2.76
4 Pt 0.5040 0.5084 0.0081  3 Cu 2.61-2.68, 7 Li 2.62-2.70, 2 Pt 2.76

ΔE to the lowest computed polymorph = 0.056 eV per atom
Space-group type = Cm, No. 8
Total magnetic moment = 0.00 μB/f.u.
VASP energy = -3.82 eV/atom
Energy relative to the elements = -0.325 eV per atom